# Rb2SbAuBr6 | the Alexandria database | PBE-GGA | relaxed
data_Rb2SbAuBr6
_cell_length_a 11.260
_cell_length_b 11.260
_cell_length_c 11.260
_cell_angle_alpha 90.00
_cell_angle_beta 90.00
_cell_angle_gamma 90.00
_space_group_name_H-M_alt 'F m -3 m'
_space_group_IT_number 225
_space_group_name_Hall '-F 4 2 3'
loop_
_atom_site_label
_atom_site_type_symbol
_atom_site_fract_x
_atom_site_fract_y
_atom_site_fract_z
Rb1 Rb 0.250 0.250 0.250
Sb1 Sb 0.000 0.000 0.000
Au1 Au 0.000 0.000 0.500
Br1 Br 0.000 0.000 0.251
# Formation energy from raw total energies, eV/atom: -0.93
# Excess energy over the best structure of this formula in the dataset, kJ/mol of formula units: 43
# N(E_F), states/eV/f.u.: 0.9

# NdSI | the Alexandria database | PBE-GGA | relaxed
data_NdSI
_cell_length_a 4.678
_cell_length_b 15.396
_cell_length_c 8.102
_cell_angle_alpha 90.00
_cell_angle_beta 90.00
_cell_angle_gamma 90.00
_space_group_name_H-M_alt 'I m m 2'
_space_group_IT_number 44
loop_
_space_group_symop_operation_xyz
'x,y,z'
'-x,-y,z'
'-x,y,z'
'x,-y,z'
'x+1/2,y+1/2,z+1/2'
'-x+1/2,-y+1/2,z+1/2'
'-x+1/2,y+1/2,z+1/2'
'x+1/2,-y+1/2,z+1/2'
loop_
_atom_site_label
_atom_site_type_symbol
_atom_site_fract_x
_atom_site_fract_y
_atom_site_fract_z
Nd1 Nd 0.000 0.000 0.000
Nd2 Nd 0.000 0.307 0.723
S1 S 0.000 0.183 0.017
S2 S 0.000 0.500 0.697
I1 I 0.000 0.138 0.480
I2 I 0.000 0.500 0.237
# Formation energy from raw total energies, eV/atom: -1.69
# N(E_F), states/eV/f.u.: 0.0

# SrZrBr3 | the Alexandria database | PBE-GGA | relaxed
data_SrZrBr3
_cell_length_a 5.872
_cell_length_b 5.872
_cell_length_c 5.872
_cell_angle_alpha 90.00
_cell_angle_beta 90.00
_cell_angle_gamma 90.00
_space_group_name_H-M_alt 'P m -3 m'
_space_group_IT_number 221
_space_group_name_Hall '-P 4 2 3'
loop_
_atom_site_label
_atom_site_type_symbol
_atom_site_fract_x
_atom_site_fract_y
_atom_site_fract_z
Sr1 Sr 0.000 0.000 0.000
Zr1 Zr 0.500 0.500 0.500
Br1 Br 0.000 0.000 0.500
# Formation energy from raw total energies, eV/atom: -0.54
# Excess energy over the best structure of this formula in the dataset, kJ/mol of formula units: 164
# N(E_F), states/eV/f.u.: 4.8

# Pu4BiSbAu2 | the Alexandria database | PBE-GGA | relaxed
data_Pu4BiSbAu2
_cell_length_a 5.2910
_cell_length_b 5.2910
_cell_length_c 25.9342
_cell_angle_alpha 90.00
_cell_angle_beta 90.00
_cell_angle_gamma 120.00
_space_group_name_H-M_alt 'R -3 m'
_space_group_IT_number 166
_space_group_name_Hall '-R 3 2"'
loop_
_atom_site_label
_atom_site_type_symbol
_atom_site_fract_x
_atom_site_fract_y
_atom_site_fract_z
Pu1 Pu 0.0000 0.0000 0.1216
Pu2 Pu 0.0000 0.0000 0.3716
Bi1 Bi 0.0000 0.0000 0.5000
Sb1 Sb 0.0000 0.0000 0.0000
Au1 Au 0.0000 0.0000 0.2467
# Formation energy from raw total energies, eV/atom: -0.45
# N(E_F), states/eV/f.u.: 34.6

# PrMgCu | the Alexandria database | PBE-GGA | relaxed
data_PrMgCu
_cell_length_a 3.408
_cell_length_b 3.408
_cell_length_c 11.930
_cell_angle_alpha 90.00
_cell_angle_beta 90.00
_cell_angle_gamma 90.00
_space_group_name_H-M_alt 'I 4 m m'
_space_group_IT_number 107
_space_group_name_Hall 'I 4 -2'
loop_
_atom_site_label
_atom_site_type_symbol
_atom_site_fract_x
_atom_site_fract_y
_atom_site_fract_z
Pr1 Pr 0.000 0.000 0.000
Mg1 Mg 0.000 0.000 0.281
Cu1 Cu 0.000 0.000 0.664
# Formation enthalpy at 0 K, eV per formula unit: -0.16
# N(E_F), states/eV/f.u.: 3.2

# LiTmAgBi | the Alexandria database | PBE-GGA | relaxed
data_LiTmAgBi
_cell_length_a 7.204
_cell_length_b 7.204
_cell_length_c 7.204
_cell_angle_alpha 90.00
_cell_angle_beta 90.00
_cell_angle_gamma 90.00
_space_group_name_H-M_alt 'F -4 3 m'
_space_group_IT_number 216
_space_group_name_Hall 'F -4 2 3'
loop_
_atom_site_label
_atom_site_type_symbol
_atom_site_fract_x
_atom_site_fract_y
_atom_site_fract_z
Li1 Li 0.000 0.000 0.000
Tm1 Tm 0.000 0.000 0.500
Ag1 Ag 0.250 0.250 0.750
Bi1 Bi 0.250 0.250 0.250
# Formation enthalpy at 0 K, eV per formula unit: -1.64
# N(E_F), states/eV/f.u.: 1.3

# FeTcRh | the Alexandria database | PBE-GGA | relaxed
data_FeTcRh
_cell_length_a 6.133
_cell_length_b 2.737
_cell_length_c 9.514
_cell_angle_alpha 90.00
_cell_angle_beta 90.00
_cell_angle_gamma 90.00
_space_group_name_H-M_alt 'P n m a'
_space_group_IT_number 62
loop_
_space_group_symop_operation_xyz
'x,y,z'
'-x,-y,-z'
'-x+1/2,-y,z+1/2'
'x+1/2,y,-z+1/2'
'x+1/2,-y+1/2,-z+1/2'
'-x+1/2,y+1/2,z+1/2'
'-x,y+1/2,-z'
'x,-y+1/2,z'
loop_
_atom_site_label
_atom_site_type_symbol
_atom_site_fract_x
_atom_site_fract_y
_atom_site_fract_z
Fe1 Fe 0.065 0.250 0.090
Tc1 Tc 0.161 0.250 0.435
Rh1 Rh 0.143 0.250 0.719
# Excess energy over the best structure of this formula in the dataset, kJ/mol of formula units: 3
# Formation enthalpy at 0 K, eV per formula unit: 0.05
# N(E_F), states/eV/f.u.: 3.0

# TbNdEr4 | the Alexandria database | PBE-GGA | relaxed
data_TbNdEr4
_cell_length_a 8.771
_cell_length_b 14.615
_cell_length_c 6.485
_cell_angle_alpha 90.00
_cell_angle_beta 111.14
_cell_angle_gamma 90.00
_space_group_name_H-M_alt 'C 1 2/c 1'
_space_group_IT_number 15
loop_
_space_group_symop_operation_xyz
'x,y,z'
'-x,-y,-z'
'-x,y,-z+1/2'
'x,-y,z+1/2'
'x+1/2,y+1/2,z'
'-x+1/2,-y+1/2,-z'
'-x+1/2,y+1/2,-z+1/2'
'x+1/2,-y+1/2,z+1/2'
loop_
_atom_site_label
_atom_site_type_symbol
_atom_site_fract_x
_atom_site_fract_y
_atom_site_fract_z
Tb1 Tb 0.000 0.087 0.250
Nd1 Nd 0.000 0.495 0.250
Er1 Er 0.091 0.302 0.538
Er2 Er 0.200 0.129 0.882
# Excess energy over the best structure of this formula in the dataset, kJ/mol of formula units: 82
# Formation enthalpy at 0 K, eV per formula unit: 0.96
# N(E_F), states/eV/f.u.: 10.2

| no. | electronic total energy (Ry/atom) | ρ (kg/m3) |
| --- | --- | --- |
| 1 | -0.211 | 4508 |
| 2 | -0.380 | 5177 |
| 3 | -0.264 | 3433 |
| 4 | -0.693 | 13475 |
| 5 | -0.260 | 5484 |
| 6 | -0.271 | 8754 |
| 7 | -0.640 | 10680 |
| 8 | -0.327 | 8329 |